Below is a relaxed Pu2VReO8 crystal, with properties calculated at the PBE+U level.

Lattice parameters (Å, degrees): 4.8696 4.8685 6.7050 90.00 90.00 90.95
Last column: nearest neighbours and their distance in Å.
Positions (direct):
O  0.8199  0.1804  0.2359  1 Re 2.02, 1 V 2.17, 1 Pu 2.22
O  0.1800  0.8196  0.2359  1 Re 2.02, 1 V 2.17, 1 Pu 2.22
O  0.2858  0.2855  0.0000  1 Re 1.95
O  0.7142  0.7145  0.0000  1 Re 1.95
O  0.1801  0.8196  0.7641  1 Re 2.02, 1 V 2.17, 1 Pu 2.22
O  0.2933  0.2930  0.5000  1 V 2.00, 2 Pu 2.19
O  0.8200  0.1804  0.7641  1 Re 2.02, 1 V 2.17, 1 Pu 2.22
O  0.7067  0.7070  0.5000  1 V 2.00, 2 Pu 2.19
V  0.0000  0.0000  0.5000  6 O 2.00-2.17
Pu  0.5000  0.5000  0.7492  6 O 2.19-2.23
Pu  0.5000  0.5000  0.2508  6 O 2.19-2.23
Re  0.0000  0.0000  0.0000  6 O 1.95-2.02

Values from the calculation:
Symmetry: No. 65
Calculated volume: 158.9 Å³ per cell
Magnetization: 12.0 μB/f.u.
Crystal system: orthorhombic
Total DFT energy (no corrections): -9.657 eV per atom